Below is crystalline CaVOF2 at its relaxed geometry, with properties calculated at the PBE+U level.

Structure (CIF):
```
data_CaVOF2
_chemical_formula_sum 'Ca4 V4 O4 F8'
_cell_length_a 5.5267
_cell_length_b 5.5267
_cell_length_c 8.4747
_cell_angle_alpha 90.00
_cell_angle_beta 90.00
_cell_angle_gamma 90.00
_space_group_name_H-M_alt 'I 4/m c m'
_space_group_IT_number 140
_space_group_name_Hall '-I 4 2c'
loop_
_atom_site_label
_atom_site_type_symbol
_atom_site_fract_x
_atom_site_fract_y
_atom_site_fract_z
Ca1 Ca 0.0000 0.5000 0.2500
V1 V 0.0000 0.0000 0.0000
O1 O 0.0000 0.0000 0.2500
F1 F 0.1566 0.3434 0.0000
```

Summary:
The theoretical density comes out at 3.72 g/cm³. The excess energy over the best structure of this formula in the dataset is 0.0000 eV per atom.